Entry from Alexandria via LeMat-Bulk: a relaxed structure of RbOF2 (GGA-PBEsol).

Lattice parameters (Å, degrees): 4.5452 4.5452 15.7651 90.00 90.00 120.00
Space group R-3m (No. 166, hexagonal axes)
Asymmetric unit:
Rb (0.0000, 0.0000, 0.0000) (multiplicity 3)
O (0.0000, 0.0000, 0.5000) (multiplicity 3)
F (0.0000, 0.0000, 0.3932) (multiplicity 6)

Values from the calculation:
The calculation puts the uncorrected formation energy at -992 meV per atom. As for the total moment: 1.0 μB/f.u.

---

Entry from Alexandria via LeMat-Bulk: a relaxed structure of KWCl (GGA-PBEsol).

Lattice parameters (Å, degrees): 3.049 5.186 14.967 90.00 90.00 90.00
Space group Fmm2 (No. 42)
Asymmetric unit:
K (0.000, 0.000, 0.000) (multiplicity 4)
W (0.000, 0.000, 0.700) (multiplicity 4)
Cl (0.000, 0.000, 0.334) (multiplicity 4)

Values from the calculation:
The calculation puts the uncorrected formation energy at 700 meV per atom. As for the total moment: 0.4 μB/f.u.

---

Entry from Alexandria via LeMat-Bulk: a relaxed structure of Sr2P (GGA-PBEsol).

Lattice parameters (Å, degrees): 4.3888 4.3888 7.3932 90.00 90.00 120.00
Space group P-3m1 (No. 164)
Asymmetric unit:
Sr (0.3333, 0.6667, 0.2885) (multiplicity 2)
P (0.0000, 0.0000, 0.5000) (multiplicity 1)

Values from the calculation:
For the formation energy, the calculation gives -0.8302 eV per atom. As for the total moment: 0.0 μB/f.u.

---

Entry from Alexandria via LeMat-Bulk: a relaxed structure of LaZrRe (GGA-PBEsol).

Lattice parameters (Å, degrees): 3.314 5.146 15.218 90.00 90.00 90.00
Space group Fmm2 (No. 42)
Asymmetric unit:
La (0.000, 0.000, 0.000) (multiplicity 4)
Zr (0.000, 0.000, 0.291) (multiplicity 4)
Re (0.000, 0.000, 0.657) (multiplicity 4)

Values from the calculation:
For the formation energy, the calculation gives 0.3033 eV per atom. As for the total moment: 0.0 μB/f.u.

---

Entry from Alexandria via LeMat-Bulk: a relaxed structure of ThSe2O6 (GGA-PBEsol).

Lattice parameters (Å, degrees): 7.175 10.901 8.674 90.00 126.18 90.00
Space group P2_1/c (No. 14)
Asymmetric unit:
Th (0.247, 0.096, 0.488) (multiplicity 4)
Se (0.194, 0.715, 0.935) (multiplicity 4)
Se (0.275, 0.073, 0.060) (multiplicity 4)
O (0.010, 0.600, 0.916) (multiplicity 4)
O (0.056, 0.743, 0.203) (multiplicity 4)
O (0.149, 0.089, 0.178) (multiplicity 4)
O (0.389, 0.606, 0.962) (multiplicity 4)
O (0.412, 0.213, 0.115) (multiplicity 4)
O (0.491, 0.022, 0.795) (multiplicity 4)

Values from the calculation:
The calculation puts the uncorrected formation energy at -1851 meV per atom. As for the total moment: 0.0 μB/f.u.

---

Entry from Alexandria via LeMat-Bulk: a relaxed structure of Co12Ni17 (GGA-PBEsol).

Lattice parameters (Å, degrees): 8.491 8.491 8.491 90.00 90.00 90.00
Space group I-43m (No. 217)
Asymmetric unit:
Co (0.091, 0.091, 0.719) (multiplicity 24)
Ni (0.000, 0.000, 0.000) (multiplicity 2)
Ni (0.040, 0.358, 0.642) (multiplicity 24)
Ni (0.176, 0.176, 0.176) (multiplicity 8)

Values from the calculation:
For the formation energy, the calculation gives 0.0592 eV per atom. As for the total moment: 30.4 μB/f.u.

---

Entry from Alexandria via LeMat-Bulk: a relaxed structure of FeNi3Te (GGA-PBEsol).

Lattice parameters (Å, degrees): 4.279 4.279 4.279 90.00 90.00 90.00
Space group Pm-3m (No. 221)
Asymmetric unit:
Fe (0.000, 0.000, 0.000) (multiplicity 1)
Ni (0.000, 0.000, 0.500) (multiplicity 3)
Te (0.500, 0.500, 0.500) (multiplicity 1)

Values from the calculation:
The calculation puts the uncorrected formation energy at 859 meV per atom. As for the total moment: 4.7 μB/f.u.

---

Entry from Alexandria via LeMat-Bulk: a relaxed structure of Hf3SnGe (GGA-PBEsol).

Lattice parameters (Å, degrees): 4.889 4.889 4.889 90.00 90.00 90.00
Space group Pm-3m (No. 221)
Asymmetric unit:
Hf (0.000, 0.000, 0.500) (multiplicity 3)
Sn (0.500, 0.500, 0.500) (multiplicity 1)
Ge (0.000, 0.000, 0.000) (multiplicity 1)

Values from the calculation:
For the formation energy, the calculation gives 0.2260 eV per atom. As for the total moment: 0.0 μB/f.u.

---

Density for the records above, in order: 2.463, 7.252, 2.777, 10.654, 5.895, 9.249, 7.621, 10.331 g/cm3